This record from OQMD describes a relaxed structure of GdFeCoGe2. The functional is PBE.

a = 5.7543 Å, b = 5.7543 Å, c = 5.7543 Å
α = 139.19°, β = 139.19°, γ = 59.08°
Positions (direct):
1 Co 0.2500 0.7500 0.5000
2 Fe 0.7500 0.2500 0.5000
3 Gd 0.0000 0.0000 0.0000
4 Ge 0.3686 0.3686 0.0000
5 Ge 0.6314 0.6314 0.0000

## Properties
As for the mass density: 8.6 Mg/m³. Its total energy is -32.1 eV per cell.